Here is crystalline Sc2AlTl at its relaxed geometry from Alexandria. Energies are from PBE-GGA.

Values from the calculation:
The calculation puts the formation energy at 0.22 eV per formula unit. The calculation puts the calculated density at 5625 kg/m³. As for the space group: No. 122. The calculation puts the final energy at -4.637 eV per atom. The calculation puts the total magnetic moment at 0.00 μB/f.u.

a b c (Å): 7.773 7.773 6.279
angles (deg): 90.00 90.00 90.00
Fractional coordinates of all 16 atoms:
Sc (0.242, 0.250, 0.125)
Sc (0.250, 0.742, 0.375)
Sc (0.250, 0.758, 0.875)
Sc (0.258, 0.250, 0.625)
Sc (0.742, 0.750, 0.625)
Sc (0.750, 0.242, 0.875)
Sc (0.750, 0.258, 0.375)
Sc (0.758, 0.750, 0.125)
Al (0.000, 0.000, 0.000)
Al (0.000, 0.500, 0.250)
Al (0.500, 0.000, 0.750)
Al (0.500, 0.500, 0.500)
Tl (0.000, 0.000, 0.500)
Tl (0.000, 0.500, 0.750)
Tl (0.500, 0.000, 0.250)
Tl (0.500, 0.500, 0.000)

Here is crystalline Sc5AlTl at its relaxed geometry from Alexandria. Energies are from PBE-GGA.

Values from the calculation:
The calculation puts the formation energy at -0.58 eV per formula unit. The calculation puts the calculated density at 4613 kg/m³. As for the space group: No. 15. The calculation puts the final energy at -5.478 eV per atom. The calculation puts the total magnetic moment at 0.00 μB/f.u.

a b c (Å): 5.705 5.705 10.398
angles (deg): 99.52 99.52 92.19
Fractional coordinates of all 14 atoms:
Sc (0.002, 0.592, 0.164)
Sc (0.141, 0.859, 0.750)
Sc (0.243, 0.514, 0.470)
Sc (0.408, 0.998, 0.336)
Sc (0.486, 0.757, 0.030)
Sc (0.514, 0.243, 0.970)
Sc (0.592, 0.002, 0.664)
Sc (0.757, 0.486, 0.530)
Sc (0.859, 0.141, 0.250)
Sc (0.998, 0.408, 0.836)
Al (0.489, 0.511, 0.750)
Al (0.511, 0.489, 0.250)
Tl (0.000, 0.000, 0.000)
Tl (0.000, 0.000, 0.500)

Here is crystalline ScAl2Tl at its relaxed geometry from Alexandria. Energies are from PBE-GGA.

Values from the calculation:
The calculation puts the formation energy at -0.64 eV per formula unit. The calculation puts the calculated density at 6296 kg/m³. As for the space group: No. 119. The calculation puts the final energy at -4.207 eV per atom. The calculation puts the total magnetic moment at 0.00 μB/f.u.

a b c (Å): 4.180 4.180 9.156
angles (deg): 90.00 90.00 90.00
Fractional coordinates of all 8 atoms:
Sc (0.000, 0.000, 0.000)
Sc (0.500, 0.500, 0.500)
Al (0.000, 0.000, 0.500)
Al (0.000, 0.500, 0.750)
Al (0.500, 0.000, 0.250)
Al (0.500, 0.500, 0.000)
Tl (0.000, 0.500, 0.250)
Tl (0.500, 0.000, 0.750)

Here is crystalline Sc2AlTl at its relaxed geometry from Alexandria. Energies are from PBE-GGA.

Values from the calculation:
The calculation puts the formation energy at -0.33 eV per formula unit. The calculation puts the calculated density at 5919 kg/m³. As for the space group: No. 35. The calculation puts the final energy at -4.774 eV per atom. The calculation puts the total magnetic moment at 0.00 μB/f.u.

a b c (Å): 4.666 4.747 8.138
angles (deg): 90.00 90.00 90.00
Fractional coordinates of all 8 atoms:
Sc (0.000, 0.000, 0.000)
Sc (0.000, 0.500, 0.273)
Sc (0.500, 0.000, 0.273)
Sc (0.500, 0.500, 0.000)
Al (0.000, 0.000, 0.497)
Al (0.500, 0.500, 0.497)
Tl (0.000, 0.500, 0.735)
Tl (0.500, 0.000, 0.735)

Here is crystalline ScAl2Tl at its relaxed geometry from Alexandria. Energies are from PBE-GGA.

Values from the calculation:
The calculation puts the formation energy at 0.11 eV per formula unit. The calculation puts the calculated density at 5898 kg/m³. As for the space group: No. 160. The calculation puts the final energy at -4.019 eV per atom. The calculation puts the total magnetic moment at 0.00 μB/f.u.

a b c (Å): 3.190 3.190 29.062
angles (deg): 90.00 90.00 120.00
Fractional coordinates of all 12 atoms:
Sc (0.000, 0.000, 0.000)
Sc (0.333, 0.667, 0.667)
Sc (0.667, 0.333, 0.333)
Al (0.000, 0.000, 0.252)
Al (0.000, 0.000, 0.509)
Al (0.333, 0.667, 0.176)
Al (0.333, 0.667, 0.919)
Al (0.667, 0.333, 0.586)
Al (0.667, 0.333, 0.842)
Tl (0.000, 0.000, 0.756)
Tl (0.333, 0.667, 0.423)
Tl (0.667, 0.333, 0.090)

Here is crystalline Sc6AlTl5 at its relaxed geometry from Alexandria. Energies are from PBE-GGA.

Values from the calculation:
The calculation puts the formation energy at -3.18 eV per formula unit. The calculation puts the calculated density at 8002 kg/m³. As for the space group: No. 12. The calculation puts the final energy at -4.728 eV per atom. The calculation puts the total magnetic moment at 0.00 μB/f.u.

a b c (Å): 8.756 8.756 5.057
angles (deg): 106.76 106.76 120.13
Fractional coordinates of all 12 atoms:
Sc (0.082, 0.408, 0.745)
Sc (0.240, 0.240, 0.240)
Sc (0.408, 0.082, 0.745)
Sc (0.592, 0.918, 0.255)
Sc (0.760, 0.760, 0.760)
Sc (0.918, 0.592, 0.255)
Al (0.000, 0.000, 0.500)
Tl (0.170, 0.830, 0.000)
Tl (0.334, 0.666, 0.500)
Tl (0.500, 0.500, 0.000)
Tl (0.666, 0.334, 0.500)
Tl (0.830, 0.170, 0.000)

What did the second record say?
Here is crystalline Sc5AlTl at its relaxed geometry from Alexandria. Energies are from PBE-GGA.

Values from the calculation:
The calculation puts the formation energy at -0.58 eV per formula unit. The calculation puts the calculated density at 4613 kg/m³. As for the space group: No. 15. The calculation puts the final energy at -5.478 eV per atom. The calculation puts the total magnetic moment at 0.00 μB/f.u.

a b c (Å): 5.705 5.705 10.398
angles (deg): 99.52 99.52 92.19
Fractional coordinates of all 14 atoms:
Sc (0.002, 0.592, 0.164)
Sc (0.141, 0.859, 0.750)
Sc (0.243, 0.514, 0.470)
Sc (0.408, 0.998, 0.336)
Sc (0.486, 0.757, 0.030)
Sc (0.514, 0.243, 0.970)
Sc (0.592, 0.002, 0.664)
Sc (0.757, 0.486, 0.530)
Sc (0.859, 0.141, 0.250)
Sc (0.998, 0.408, 0.836)
Al (0.489, 0.511, 0.750)
Al (0.511, 0.489, 0.250)
Tl (0.000, 0.000, 0.000)
Tl (0.000, 0.000, 0.500)

Q: Which formula does entry 3 have?
A: ScAl2Tl

Q: Which of these has the lowest calculated density?
A: Sc5AlTl